Record 1
Here is crystalline ZrSi2Te at its relaxed geometry from the Alexandria database. Energies are from PBE-GGA.

a = 3.7259 Å, b = 3.7259 Å, c = 5.7636 Å
α = 90.00°, β = 90.00°, γ = 90.00°
Positions (direct):
Si  0.0000  0.0000  0.9580
Si  0.0000  0.0000  0.5420
Te  0.5000  0.5000  0.2500
Zr  0.5000  0.5000  0.7500

Values from the calculation:
Spin magnetization ... 0.000 μB/cell
Formation energy (no corrections) ... -0.097 eV/atom
DOS(E_F) ... 2.00 states/eV/f.u.
Energy above the lowest structure with this stoichiometry ... 260 meV/atom

Record 2
Here is crystalline Zr2SiTe at its relaxed geometry from the Alexandria database. Energies are from PBE-GGA.

a = 5.1788 Å, b = 5.1788 Å, c = 5.1788 Å
α = 134.34°, β = 118.72°, γ = 79.66°
Positions (direct):
Te  0.7500  0.2500  0.5000
Si  0.2500  0.7500  0.5000
Zr  0.0293  0.0293  0.0000
Zr  0.4707  0.4707  0.0000

Values from the calculation:
Spin magnetization ... 0.000 μB/cell
Formation energy (no corrections) ... -0.512 eV/atom
DOS(E_F) ... 2.22 states/eV/f.u.
Energy above the lowest structure with this stoichiometry ... 266 meV/atom

Record 3
Here is crystalline Zr2SiTe at its relaxed geometry from the Alexandria database. Energies are from PBE-GGA.

a = 6.2326 Å, b = 6.2326 Å, c = 7.7002 Å
α = 66.13°, β = 66.13°, γ = 90.00°
Positions (direct):
Zr  0.3750  0.4166  0.7500
Si  0.2500  0.7500  0.5000
Zr  0.8750  0.8334  0.7500
Te  0.7500  0.2500  0.5000
Zr  0.1666  0.6250  0.2500
Si  0.5000  0.5000  0.0000
Te  0.0000  0.0000  0.0000
Zr  0.5834  0.1250  0.2500

Values from the calculation:
Spin magnetization ... 0.000 μB/cell
Formation energy (no corrections) ... 0.016 eV/atom
DOS(E_F) ... 3.36 states/eV/f.u.
Energy above the lowest structure with this stoichiometry ... 795 meV/atom

Record 4
Here is crystalline ZrSiTe at its relaxed geometry from the Alexandria database. Energies are from PBE-GGA.

a = 5.2879 Å, b = 5.2879 Å, c = 5.2879 Å
α = 139.74°, β = 139.74°, γ = 58.25°
Positions (direct):
Te  0.3296  0.3296  0.0000
Si  0.0164  0.0164  0.0000
Zr  0.6540  0.6540  0.0000

Values from the calculation:
Spin magnetization ... 0.000 μB/cell
Formation energy (no corrections) ... -0.453 eV/atom
DOS(E_F) ... 1.54 states/eV/f.u.
Energy above the lowest structure with this stoichiometry ... 351 meV/atom

Record 5
Here is crystalline ZrSi3Te at its relaxed geometry from the Alexandria database. Energies are from PBE-GGA.

a = 5.0114 Å, b = 5.0114 Å, c = 5.0114 Å
α = 90.00°, β = 90.00°, γ = 90.00°
Positions (direct):
Zr  0.5000  0.5000  0.5000
Si  0.0000  0.5000  0.0000
Te  0.0000  0.0000  0.0000
Si  0.0000  0.0000  0.5000
Si  0.5000  0.0000  0.0000

Values from the calculation:
Spin magnetization ... 0.000 μB/cell
Formation energy (no corrections) ... 1.342 eV/atom
DOS(E_F) ... 5.62 states/eV/f.u.
Energy above the lowest structure with this stoichiometry ... 463 meV/atom

Record 6
Here is crystalline ZrSi2Te at its relaxed geometry from the Alexandria database. Energies are from PBE-GGA.

a = 5.2609 Å, b = 5.2609 Å, c = 5.2609 Å
α = 140.01°, β = 123.05°, γ = 71.85°
Positions (direct):
Si  0.0363  0.0363  0.0000
Zr  0.7681  0.2681  0.5000
Te  0.4771  0.4771  0.0000
Si  0.2185  0.7185  0.5000

Values from the calculation:
Spin magnetization ... 0.000 μB/cell
Formation energy (no corrections) ... -0.181 eV/atom
DOS(E_F) ... 1.42 states/eV/f.u.
Energy above the lowest structure with this stoichiometry ... 176 meV/atom

Record 7
Here is crystalline ZrSiTe at its relaxed geometry from the Alexandria database. Energies are from PBE-GGA.

a = 4.7778 Å, b = 4.7778 Å, c = 4.7778 Å
α = 60.00°, β = 60.00°, γ = 60.00°
Positions (direct):
Si  0.0000  0.0000  0.0000
Zr  0.7500  0.7500  0.7500
Te  0.5000  0.5000  0.5000

Values from the calculation:
Spin magnetization ... 0.000 μB/cell
Formation energy (no corrections) ... 0.037 eV/atom
DOS(E_F) ... 3.39 states/eV/f.u.
Energy above the lowest structure with this stoichiometry ... 840 meV/atom

Record 8
Here is crystalline ZrSi2Te8 at its relaxed geometry from the Alexandria database. Energies are from PBE-GGA.

a = 6.3172 Å, b = 8.1627 Å, c = 8.1627 Å
α = 93.24°, β = 80.92°, γ = 80.92°
Positions (direct):
Zr  0.0000  0.0000  0.0000
Te  0.2284  0.4467  0.4467
Te  0.2604  0.9199  0.2646
Te  0.2604  0.2646  0.9199
Te  0.7396  0.7354  0.0801
Si  0.3304  0.2120  0.2120
Te  0.7396  0.0801  0.7354
Te  0.7716  0.5533  0.5533
Te  0.7222  0.2380  0.2380
Si  0.6696  0.7880  0.7880
Te  0.2778  0.7620  0.7620

Values from the calculation:
Spin magnetization ... 0.000 μB/cell
Formation energy (no corrections) ... -0.131 eV/atom
DOS(E_F) ... 3.77 states/eV/f.u.

Record 9
Here is crystalline ZrSi2Te at its relaxed geometry from the Alexandria database. Energies are from PBE-GGA.

a = 7.4797 Å, b = 7.4797 Å, c = 7.4797 Å
α = 29.49°, β = 29.49°, γ = 29.49°
Positions (direct):
Zr  0.7364  0.7364  0.7364
Si  0.9898  0.9898  0.9898
Si  0.2826  0.2826  0.2826
Te  0.4912  0.4912  0.4912

Values from the calculation:
Spin magnetization ... 0.000 μB/cell
Formation energy (no corrections) ... -0.349 eV/atom
DOS(E_F) ... 1.04 states/eV/f.u.
Energy above the lowest structure with this stoichiometry ... 8 meV/atom

Record 10
Here is crystalline Zr2SiTe at its relaxed geometry from the Alexandria database. Energies are from PBE-GGA.

a = 3.8399 Å, b = 3.8399 Å, c = 5.9913 Å
α = 90.00°, β = 90.00°, γ = 90.00°
Positions (direct):
Zr  0.5000  0.5000  0.3106
Zr  0.0000  0.0000  0.9656
Te  0.5000  0.5000  0.8041
Si  0.0000  0.0000  0.4196

Values from the calculation:
Spin magnetization ... 0.000 μB/cell
Formation energy (no corrections) ... -0.599 eV/atom
DOS(E_F) ... 2.23 states/eV/f.u.
Energy above the lowest structure with this stoichiometry ... 179 meV/atom

Record 11
Here is crystalline ZrSiTe2 at its relaxed geometry from the Alexandria database. Energies are from PBE-GGA.

a = 5.0851 Å, b = 5.0851 Å, c = 5.0851 Å
α = 60.00°, β = 60.00°, γ = 60.00°
Positions (direct):
Te  0.0000  0.0000  0.0000
Si  0.5000  0.5000  0.5000
Zr  0.7500  0.7500  0.7500
Te  0.2500  0.2500  0.2500

Values from the calculation:
Spin magnetization ... 0.000 μB/cell
Formation energy (no corrections) ... 0.265 eV/atom
DOS(E_F) ... 5.08 states/eV/f.u.

Record 12
Here is crystalline ThSi3 at its relaxed geometry from the Alexandria database. Energies are from PBE-GGA.

a = 4.1522 Å, b = 4.1903 Å, c = 4.5393 Å
α = 90.00°, β = 90.00°, γ = 90.00°
Positions (direct):
Si  0.0000  0.0000  0.1251
Si  0.0000  0.5000  0.4529
Th  0.5000  0.0000  0.6315
Si  0.5000  0.5000  0.1238

Values from the calculation:
Spin magnetization ... 0.000 μB/cell
Formation energy (no corrections) ... -0.321 eV/atom
DOS(E_F) ... 2.28 states/eV/f.u.